# 1
This record from the Alexandria database describes a relaxed Li2Be2MoO6 crystal. The functional is PBE+U.

Output
As for the mass density: 2.82 g/cm³. As for the crystal system: trigonal. For the calculated volume, the calculation gives 11.99 Å³/atom. Its total moment is 0.0 μB per formula unit.

a = 4.9845 Å, b = 4.9845 Å, c = 6.1306 Å
α = 90.00°, β = 90.00°, γ = 120.00°
Atoms (fractional coordinates):
Li: 0.3333 0.6667 0.2689
Li: 0.6667 0.3333 0.7311
Be: 0.3333 0.6667 0.8153
Be: 0.6667 0.3333 0.1847
Mo: 0.0000 0.0000 0.0000
O: 0.0456 0.7071 0.8147
O: 0.2929 0.3385 0.8147
O: 0.3385 0.0456 0.1853
O: 0.6615 0.9544 0.8147
O: 0.7071 0.6615 0.1853
O: 0.9544 0.2929 0.1853

# 2
This record from the Alexandria database describes a relaxed SrNdMo2O8 crystal. The functional is PBE+U.

Output
As for the mass density: 5.25 g/cm³. As for the crystal system: tetragonal. For the calculated volume, the calculation gives 14.54 Å³/atom. Its total moment is 1.0 μB per formula unit.

a = 7.0834 Å, b = 7.0834 Å, c = 7.0834 Å
α = 135.10°, β = 135.10°, γ = 65.38°
Atoms (fractional coordinates):
Sr: 0.0000 0.0000 0.0000
Nd: 0.7500 0.2500 0.5000
Mo: 0.2500 0.7500 0.5000
Mo: 0.5000 0.5000 0.0000
O: 0.0074 0.9267 0.5883
O: 0.0733 0.6616 0.0808
O: 0.1770 0.2738 0.6167
O: 0.3384 0.4192 0.4117
O: 0.4397 0.8230 0.0967
O: 0.5808 0.9926 0.9192
O: 0.6570 0.5603 0.3833
O: 0.7262 0.3430 0.9033

Taking the records one at a time from the top gives electronic total energy values of -70.10, -88.45 eV for the cell shown.